<1>
Material: MnBeSe3
Method: DFT, GGA-PBE
State: relaxed

The structure in CIF format:
```
data_MnBeSe3
_chemical_formula_sum 'Mn1 Be1 Se3'
_cell_length_a 4.5108
_cell_length_b 4.5108
_cell_length_c 4.5108
_cell_angle_alpha 90.00
_cell_angle_beta 90.00
_cell_angle_gamma 90.00
_space_group_name_H-M_alt 'P m -3 m'
_space_group_IT_number 221
_space_group_name_Hall '-P 4 2 3'
loop_
_atom_site_label
_atom_site_type_symbol
_atom_site_fract_x
_atom_site_fract_y
_atom_site_fract_z
Mn1 Mn 0.0000 0.0000 0.0000
Be1 Be 0.5000 0.5000 0.5000
Se1 Se 0.0000 0.5000 0.5000
```


<2>
Material: MnBeSe3
Method: DFT, GGA-PBE
State: relaxed

The structure in CIF format:
```
data_MnBeSe3
_chemical_formula_sum 'Mn1 Be1 Se3'
_cell_length_a 4.6780
_cell_length_b 4.6780
_cell_length_c 4.6780
_cell_angle_alpha 90.00
_cell_angle_beta 90.00
_cell_angle_gamma 90.00
_space_group_name_H-M_alt 'P m -3 m'
_space_group_IT_number 221
_space_group_name_Hall '-P 4 2 3'
loop_
_atom_site_label
_atom_site_type_symbol
_atom_site_fract_x
_atom_site_fract_y
_atom_site_fract_z
Mn1 Mn 0.0000 0.0000 0.0000
Be1 Be 0.5000 0.5000 0.5000
Se1 Se 0.0000 0.0000 0.5000
```


Calculated relative energies: <1> 75; <2> 0, given in meV/atom


<1>
Material: Mn3BeSi
Method: DFT, GGA-PBE
State: relaxed

The structure in CIF format:
```
data_Mn3BeSi
_chemical_formula_sum 'Mn24 Be8 Si8'
_cell_length_a 9.6623
_cell_length_b 7.9876
_cell_length_c 5.5633
_cell_angle_alpha 90.00
_cell_angle_beta 90.00
_cell_angle_gamma 90.00
_space_group_name_H-M_alt 'C m c e'
_space_group_IT_number 64
_space_group_name_Hall '-C 2ac 2'
loop_
_atom_site_label
_atom_site_type_symbol
_atom_site_fract_x
_atom_site_fract_y
_atom_site_fract_z
Mn1 Mn 0.0000 0.0852 0.1823
Mn2 Mn 0.1409 0.1926 0.8886
Be1 Be 0.0000 0.1263 0.5776
Si1 Si 0.2500 0.0572 0.2500
```


<2>
Material: Mn3BeSi
Method: DFT, GGA-PBE
State: relaxed

The structure in CIF format:
```
data_Mn3BeSi
_chemical_formula_sum 'Mn3 Be1 Si1'
_cell_length_a 3.9481
_cell_length_b 3.9481
_cell_length_c 3.9481
_cell_angle_alpha 90.00
_cell_angle_beta 90.00
_cell_angle_gamma 90.00
_space_group_name_H-M_alt 'P m -3 m'
_space_group_IT_number 221
_space_group_name_Hall '-P 4 2 3'
loop_
_atom_site_label
_atom_site_type_symbol
_atom_site_fract_x
_atom_site_fract_y
_atom_site_fract_z
Mn1 Mn 0.0000 0.0000 0.5000
Be1 Be 0.0000 0.0000 0.0000
Si1 Si 0.5000 0.5000 0.5000
```


Calculated relative energies: <1> 0; <2> 521, given in meV/atom


<1>
Material: Mn2Be2Si
Method: DFT, GGA-PBE
State: relaxed

The structure in CIF format:
```
data_Mn2Be2Si
_chemical_formula_sum 'Mn4 Be4 Si2'
_cell_length_a 5.6211
_cell_length_b 5.6211
_cell_length_c 2.9486
_cell_angle_alpha 90.00
_cell_angle_beta 90.00
_cell_angle_gamma 90.00
_space_group_name_H-M_alt 'P 4/m b m'
_space_group_IT_number 127
_space_group_name_Hall '-P 4 2ab'
loop_
_atom_site_label
_atom_site_type_symbol
_atom_site_fract_x
_atom_site_fract_y
_atom_site_fract_z
Mn1 Mn 0.1763 0.3237 0.0000
Be1 Be 0.1221 0.6221 0.5000
Si1 Si 0.0000 0.0000 0.5000
```


<2>
Material: Mn2Be2Si
Method: DFT, GGA-PBE
State: relaxed

The structure in CIF format:
```
data_Mn2Be2Si
_chemical_formula_sum 'Mn4 Be4 Si2'
_cell_length_a 5.8650
_cell_length_b 5.8650
_cell_length_c 3.1045
_cell_angle_alpha 90.00
_cell_angle_beta 90.00
_cell_angle_gamma 90.00
_space_group_name_H-M_alt 'P 4/m b m'
_space_group_IT_number 127
_space_group_name_Hall '-P 4 2ab'
loop_
_atom_site_label
_atom_site_type_symbol
_atom_site_fract_x
_atom_site_fract_y
_atom_site_fract_z
Mn1 Mn 0.1442 0.3558 0.0000
Be1 Be 0.1505 0.6505 0.5000
Si1 Si 0.0000 0.0000 0.0000
```


Calculated relative energies: <1> 0; <2> 289, given in meV/atom


<1>
Material: MnBeSi3
Method: DFT, GGA-PBE
State: relaxed

The structure in CIF format:
```
data_MnBeSi3
_chemical_formula_sum 'Mn1 Be1 Si3'
_cell_length_a 4.3848
_cell_length_b 4.3848
_cell_length_c 4.3848
_cell_angle_alpha 90.00
_cell_angle_beta 90.00
_cell_angle_gamma 90.00
_space_group_name_H-M_alt 'P m -3 m'
_space_group_IT_number 221
_space_group_name_Hall '-P 4 2 3'
loop_
_atom_site_label
_atom_site_type_symbol
_atom_site_fract_x
_atom_site_fract_y
_atom_site_fract_z
Mn1 Mn 0.0000 0.0000 0.0000
Be1 Be 0.5000 0.5000 0.5000
Si1 Si 0.0000 0.0000 0.5000
```


<2>
Material: MnBeSi3
Method: DFT, GGA-PBE
State: relaxed

The structure in CIF format:
```
data_MnBeSi3
_chemical_formula_sum 'Mn1 Be1 Si3'
_cell_length_a 4.1558
_cell_length_b 4.1558
_cell_length_c 4.1558
_cell_angle_alpha 90.00
_cell_angle_beta 90.00
_cell_angle_gamma 90.00
_space_group_name_H-M_alt 'P m -3 m'
_space_group_IT_number 221
_space_group_name_Hall '-P 4 2 3'
loop_
_atom_site_label
_atom_site_type_symbol
_atom_site_fract_x
_atom_site_fract_y
_atom_site_fract_z
Mn1 Mn 0.0000 0.0000 0.0000
Be1 Be 0.5000 0.5000 0.5000
Si1 Si 0.0000 0.5000 0.5000
```


Calculated relative energies: <1> 0; <2> 434, given in meV/atom


<1>
Material: Mn2Be2Sn
Method: DFT, GGA-PBE
State: relaxed

The structure in CIF format:
```
data_Mn2Be2Sn
_chemical_formula_sum 'Mn4 Be4 Sn2'
_cell_length_a 6.4806
_cell_length_b 6.4806
_cell_length_c 2.9562
_cell_angle_alpha 90.00
_cell_angle_beta 90.00
_cell_angle_gamma 90.00
_space_group_name_H-M_alt 'P 4/m b m'
_space_group_IT_number 127
_space_group_name_Hall '-P 4 2ab'
loop_
_atom_site_label
_atom_site_type_symbol
_atom_site_fract_x
_atom_site_fract_y
_atom_site_fract_z
Mn1 Mn 0.1206 0.3794 0.0000
Be1 Be 0.1644 0.6644 0.5000
Sn1 Sn 0.0000 0.0000 0.0000
```


<2>
Material: Mn2Be2Sn
Method: DFT, GGA-PBE
State: relaxed

The structure in CIF format:
```
data_Mn2Be2Sn
_chemical_formula_sum 'Mn4 Be4 Sn2'
_cell_length_a 6.1986
_cell_length_b 6.1986
_cell_length_c 2.9975
_cell_angle_alpha 90.00
_cell_angle_beta 90.00
_cell_angle_gamma 90.00
_space_group_name_H-M_alt 'P 4/m b m'
_space_group_IT_number 127
_space_group_name_Hall '-P 4 2ab'
loop_
_atom_site_label
_atom_site_type_symbol
_atom_site_fract_x
_atom_site_fract_y
_atom_site_fract_z
Mn1 Mn 0.1657 0.3343 0.0000
Be1 Be 0.1168 0.6168 0.5000
Sn1 Sn 0.0000 0.0000 0.5000
```


Calculated relative energies: <1> 221; <2> 0, given in meV/atom


<1>
Material: MnBeSn3
Method: DFT, GGA-PBE
State: relaxed

The structure in CIF format:
```
data_MnBeSn3
_chemical_formula_sum 'Mn1 Be1 Sn3'
_cell_length_a 4.7387
_cell_length_b 4.7387
_cell_length_c 4.7387
_cell_angle_alpha 90.00
_cell_angle_beta 90.00
_cell_angle_gamma 90.00
_space_group_name_H-M_alt 'P m -3 m'
_space_group_IT_number 221
_space_group_name_Hall '-P 4 2 3'
loop_
_atom_site_label
_atom_site_type_symbol
_atom_site_fract_x
_atom_site_fract_y
_atom_site_fract_z
Mn1 Mn 0.0000 0.0000 0.0000
Be1 Be 0.5000 0.5000 0.5000
Sn1 Sn 0.0000 0.5000 0.5000
```


<2>
Material: MnBeSn3
Method: DFT, GGA-PBE
State: relaxed

The structure in CIF format:
```
data_MnBeSn3
_chemical_formula_sum 'Mn1 Be1 Sn3'
_cell_length_a 4.9375
_cell_length_b 4.9375
_cell_length_c 4.9375
_cell_angle_alpha 90.00
_cell_angle_beta 90.00
_cell_angle_gamma 90.00
_space_group_name_H-M_alt 'P m -3 m'
_space_group_IT_number 221
_space_group_name_Hall '-P 4 2 3'
loop_
_atom_site_label
_atom_site_type_symbol
_atom_site_fract_x
_atom_site_fract_y
_atom_site_fract_z
Mn1 Mn 0.0000 0.0000 0.0000
Be1 Be 0.5000 0.5000 0.5000
Sn1 Sn 0.0000 0.0000 0.5000
```


Calculated relative energies: <1> 430; <2> 0, given in meV/atom